--- a ---
Y3ScPt | GGA-PBE | relaxed

a b c (Å): 5.4515 5.4515 5.4515
angles (deg): 90.00 90.00 90.00
Last column: nearest neighbours and their distance in Å.
Positions (direct):
Y 0.0000 0.5000 0.0000  2 Pt 2.73
Pt 0.0000 0.0000 0.0000  6 Y 2.73
Y 0.0000 0.0000 0.5000  2 Pt 2.73
Sc 0.5000 0.5000 0.5000  12 Y 3.85
Y 0.5000 0.0000 0.0000  2 Pt 2.73

Output
* magnetic moment: 0.4 μB per formula unit
* calculated volume: 162.0 Å³ per cell
* DOS(E_F): 11.4 states/eV per cell

--- b ---
Y3ScPt | GGA-PBE | relaxed

a b c (Å): 5.2393 5.2393 5.2393
angles (deg): 90.00 90.00 90.00
Last column: nearest neighbours and their distance in Å.
Positions (direct):
Pt 0.5000 0.5000 0.5000  12 Y 3.70
Sc 0.0000 0.0000 0.0000  6 Y 2.62
Y 0.5000 0.0000 0.0000  2 Sc 2.62
Y 0.0000 0.0000 0.5000  2 Sc 2.62
Y 0.0000 0.5000 0.0000  2 Sc 2.62

Output
* magnetic moment: 0.2 μB per formula unit
* calculated volume: 143.8 Å³ per cell
* DOS(E_F): 5.5 states/eV per cell

Short version: a is the most stable of them.

--- a ---
Y2Sc2Pt | GGA-PBE | relaxed

a b c (Å): 6.9366 6.9366 5.2719
angles (deg): 90.00 90.00 90.00
Last column: nearest neighbours and their distance in Å.
Positions (direct):
Y 0.3328 0.1672 0.5000  6 Sc 3.18-3.44, 1 Y 3.28
Sc 0.6514 0.1514 0.0000  2 Pt 2.64
Y 0.6672 0.8328 0.5000  6 Sc 3.18-3.44, 1 Y 3.28
Sc 0.8486 0.6514 0.0000  2 Pt 2.64
Pt 0.5000 0.5000 0.0000  4 Sc 2.64
Sc 0.3486 0.8486 0.0000  2 Pt 2.64
Sc 0.1514 0.3486 0.0000  2 Pt 2.64
Y 0.8328 0.3328 0.5000  6 Sc 3.18-3.44, 1 Y 3.28
Pt 0.0000 0.0000 0.0000  4 Sc 2.64
Y 0.1672 0.6672 0.5000  6 Sc 3.18-3.44, 1 Y 3.28

Output
* magnetic moment: 0.0 μB per formula unit
* calculated volume: 253.7 Å³ per cell
* DOS(E_F): 15.5 states/eV per cell

--- b ---
Y2Sc2Pt | GGA-PBE | relaxed

a b c (Å): 7.1773 7.1773 5.1919
angles (deg): 90.00 90.00 90.00
Last column: nearest neighbours and their distance in Å.
Positions (direct):
Sc 0.6560 0.8440 0.5000  1 Sc 3.17, 6 Y 3.23-3.42
Sc 0.8440 0.3440 0.5000  1 Sc 3.17, 6 Y 3.23-3.42
Y 0.8456 0.6544 0.0000  2 Pt 2.72
Pt 0.5000 0.5000 0.0000  4 Y 2.72
Y 0.6544 0.1544 0.0000  2 Pt 2.72
Sc 0.1560 0.6560 0.5000  1 Sc 3.17, 6 Y 3.23-3.42
Pt 0.0000 0.0000 0.0000  4 Y 2.72
Sc 0.3440 0.1560 0.5000  1 Sc 3.17, 6 Y 3.23-3.42
Y 0.3456 0.8456 0.0000  2 Pt 2.72
Y 0.1544 0.3456 0.0000  2 Pt 2.72

Output
* magnetic moment: 0.0 μB per formula unit
* calculated volume: 267.5 Å³ per cell
* DOS(E_F): 14.2 states/eV per cell

--- c ---
Y2Sc2Pt | GGA-PBE | relaxed

a b c (Å): 3.7776 3.7776 9.5509
angles (deg): 78.59 78.59 90.00
Last column: nearest neighbours and their distance in Å.
Positions (direct):
Y 0.5857 0.5857 0.8285  4 Pt 3.10, 1 Y 3.14
Sc 0.2500 0.7500 0.5000  4 Sc 2.67
Sc 0.7500 0.2500 0.5000  4 Sc 2.67
Y 0.4143 0.4143 0.1715  4 Pt 3.10, 1 Y 3.14
Pt 0.0000 0.0000 0.0000  8 Y 3.10

Output
* magnetic moment: 0.0 μB per formula unit
* calculated volume: 130.9 Å³ per cell
* DOS(E_F): 4.1 states/eV per cell

Short version: a is the most stable of them.

--- a ---
YScPt2 | GGA-PBE | relaxed

a b c (Å): 7.4745 7.4745 6.0875
angles (deg): 52.13 52.13 90.00
Last column: nearest neighbours and their distance in Å.
Positions (direct):
Sc 0.5000 0.5000 0.0000  4 Pt 2.64
Y 0.0000 0.0000 0.0000  4 Pt 2.86, 2 Sc 3.02
Sc 0.2500 0.7500 0.5000  4 Pt 2.64
Y 0.7500 0.2500 0.5000  4 Pt 2.86, 2 Sc 3.02
Pt 0.1462 0.6250 0.2500  2 Sc 2.64, 2 Y 2.86
Pt 0.3750 0.3962 0.7500  2 Sc 2.64, 2 Y 2.86
Pt 0.6038 0.1250 0.2500  2 Sc 2.64, 2 Y 2.86
Pt 0.8750 0.8538 0.7500  2 Sc 2.64, 2 Y 2.86

Output
* magnetic moment: 0.0 μB per formula unit
* calculated volume: 168.8 Å³ per cell
* DOS(E_F): 5.2 states/eV per cell

--- b ---
YScPt2 | GGA-PBE | relaxed

a b c (Å): 5.5150 5.5150 5.5150
angles (deg): 136.74 136.74 62.83
Last column: nearest neighbours and their distance in Å.
Positions (direct):
Pt 0.2500 0.7500 0.5000  4 Y 2.87, 4 Pt 3.11, 4 Sc 3.11
Sc 0.5000 0.5000 0.0000  8 Pt 2.87-3.11, 4 Y 3.11
Pt 0.0000 0.0000 0.0000  4 Sc 2.87, 4 Pt 3.11, 4 Y 3.11
Y 0.7500 0.2500 0.5000  8 Pt 2.87-3.11, 4 Sc 3.11

Output
* magnetic moment: 0.0 μB per formula unit
* calculated volume: 77.8 Å³ per cell
* DOS(E_F): 3.5 states/eV per cell

Short version: b is the most stable of them.

--- a ---
YScPt3 | GGA-PBE | relaxed

a b c (Å): 4.8419 4.8419 4.8419
angles (deg): 90.00 90.00 90.00
Last column: nearest neighbours and their distance in Å.
Positions (direct):
Pt 0.0000 0.0000 0.5000  2 Sc 2.42
Y 0.5000 0.5000 0.5000  12 Pt 3.42
Pt 0.0000 0.5000 0.0000  2 Sc 2.42
Sc 0.0000 0.0000 0.0000  6 Pt 2.42
Pt 0.5000 0.0000 0.0000  2 Sc 2.42

Output
* magnetic moment: 0.0 μB per formula unit
* calculated volume: 113.5 Å³ per cell
* DOS(E_F): 2.4 states/eV per cell

--- b ---
YScPt3 | GGA-PBE | relaxed

a b c (Å): 5.0513 5.0513 5.0513
angles (deg): 90.00 90.00 90.00
Last column: nearest neighbours and their distance in Å.
Positions (direct):
Pt 0.0000 0.0000 0.5000  2 Y 2.53
Pt 0.5000 0.0000 0.0000  2 Y 2.53
Sc 0.5000 0.5000 0.5000  12 Pt 3.57
Pt 0.0000 0.5000 0.0000  2 Y 2.53
Y 0.0000 0.0000 0.0000  6 Pt 2.53

Output
* magnetic moment: 0.0 μB per formula unit
* calculated volume: 128.9 Å³ per cell
* DOS(E_F): 4.2 states/eV per cell

Short version: a is the most stable of them.

--- a ---
YSc2Pt2 | GGA-PBE | relaxed

a b c (Å): 4.1567 4.1567 7.2332
angles (deg): 73.30 73.30 90.00
Last column: nearest neighbours and their distance in Å.
Positions (direct):
Pt 0.2500 0.7500 0.5000  4 Sc 2.65, 4 Pt 2.94
Pt 0.7500 0.2500 0.5000  4 Sc 2.65, 4 Pt 2.94
Sc 0.3749 0.3749 0.2502  4 Pt 2.65
Y 0.0000 0.0000 0.0000  8 Sc 3.37
Sc 0.6251 0.6251 0.7498  4 Pt 2.65

Output
* magnetic moment: 0.0 μB per formula unit
* calculated volume: 114.2 Å³ per cell
* DOS(E_F): 7.9 states/eV per cell

--- b ---
YSc2Pt2 | GGA-PBE | relaxed

a b c (Å): 4.3556 4.3556 6.5997
angles (deg): 70.73 70.73 90.00
Last column: nearest neighbours and their distance in Å.
Positions (direct):
Pt 0.6135 0.6135 0.7731  1 Pt 2.65, 4 Sc 2.70
Pt 0.3865 0.3865 0.2269  1 Pt 2.65, 4 Sc 2.70
Sc 0.7500 0.2500 0.5000  4 Pt 2.70
Sc 0.2500 0.7500 0.5000  4 Pt 2.70
Y 0.0000 0.0000 0.0000  8 Pt 3.35, 8 Sc 3.64

Output
* magnetic moment: 0.0 μB per formula unit
* calculated volume: 110.7 Å³ per cell
* DOS(E_F): 9.1 states/eV per cell

--- c ---
YSc2Pt2 | GGA-PBE | relaxed

a b c (Å): 8.1341 8.1341 2.9835
angles (deg): 90.00 90.00 90.00
Last column: nearest neighbours and their distance in Å.
Positions (direct):
Pt 0.3387 0.1613 0.5000  6 Sc 2.76-2.85, 2 Pt 2.98
Sc 0.8635 0.6365 0.0000  6 Pt 2.76-2.85, 2 Sc 2.98
Sc 0.1365 0.3635 0.0000  6 Pt 2.76-2.85, 2 Sc 2.98
Pt 0.6613 0.8387 0.5000  6 Sc 2.76-2.85, 2 Pt 2.98
Sc 0.3635 0.8635 0.0000  6 Pt 2.76-2.85, 2 Sc 2.98
Sc 0.6365 0.1365 0.0000  6 Pt 2.76-2.85, 2 Sc 2.98
Y 0.0000 0.0000 0.0000  2 Y 2.98, 4 Sc 3.16
Pt 0.1613 0.6613 0.5000  6 Sc 2.76-2.85, 2 Pt 2.98
Pt 0.8387 0.3387 0.5000  6 Sc 2.76-2.85, 2 Pt 2.98
Y 0.5000 0.5000 0.0000  2 Y 2.98, 4 Sc 3.16

Output
* magnetic moment: 0.3 μB per formula unit
* calculated volume: 197.4 Å³ per cell
* DOS(E_F): 5.8 states/eV per cell

Short version: b is the most stable of them.

--- a ---
Y2ScPt2 | GGA-PBE | relaxed

a b c (Å): 7.4117 7.4117 4.1435
angles (deg): 90.00 90.00 90.00
Last column: nearest neighbours and their distance in Å.
Positions (direct):
Pt 0.6404 0.1404 0.0000  2 Sc 2.86, 6 Y 2.90-3.08, 1 Pt 2.94
Sc 0.0000 0.0000 0.0000  4 Pt 2.86
Y 0.6658 0.8342 0.5000  6 Pt 2.90-3.08
Sc 0.5000 0.5000 0.0000  4 Pt 2.86
Pt 0.1404 0.3596 0.0000  2 Sc 2.86, 6 Y 2.90-3.08, 1 Pt 2.94
Y 0.8342 0.3342 0.5000  6 Pt 2.90-3.08
Pt 0.3596 0.8596 0.0000  2 Sc 2.86, 6 Y 2.90-3.08, 1 Pt 2.94
Pt 0.8596 0.6404 0.0000  2 Sc 2.86, 6 Y 2.90-3.08, 1 Pt 2.94
Y 0.1658 0.6658 0.5000  6 Pt 2.90-3.08
Y 0.3342 0.1658 0.5000  6 Pt 2.90-3.08

Output
* magnetic moment: 0.0 μB per formula unit
* calculated volume: 227.6 Å³ per cell
* DOS(E_F): 5.1 states/eV per cell

--- b ---
Y2ScPt2 | GGA-PBE | relaxed

a b c (Å): 8.2254 8.2254 3.3138
angles (deg): 90.00 90.00 90.00
Last column: nearest neighbours and their distance in Å.
Positions (direct):
Pt 0.3408 0.1592 0.5000  6 Y 2.84-2.98
Pt 0.6592 0.8408 0.5000  6 Y 2.84-2.98
Pt 0.8408 0.3408 0.5000  6 Y 2.84-2.98
Sc 0.5000 0.5000 0.0000  4 Y 3.17, 2 Sc 3.31, 8 Pt 3.51
Sc 0.0000 0.0000 0.0000  4 Y 3.17, 2 Sc 3.31, 8 Pt 3.51
Y 0.6421 0.1421 0.0000  6 Pt 2.84-2.98, 2 Sc 3.17
Y 0.8579 0.6421 0.0000  6 Pt 2.84-2.98, 2 Sc 3.17
Pt 0.1592 0.6592 0.5000  6 Y 2.84-2.98
Y 0.1421 0.3579 0.0000  6 Pt 2.84-2.98, 2 Sc 3.17
Y 0.3579 0.8579 0.0000  6 Pt 2.84-2.98, 2 Sc 3.17

Output
* magnetic moment: 0.0 μB per formula unit
* calculated volume: 224.2 Å³ per cell
* DOS(E_F): 8.9 states/eV per cell

Short version: a is the most stable of them.

--- a ---
ScZn3Pt | GGA-PBE | relaxed

a b c (Å): 6.2754 6.2754 6.2754
angles (deg): 90.00 90.00 90.00
Last column: nearest neighbours and their distance in Å.
Positions (direct):
Sc 0.5000 0.5000 0.0000  10 Zn 2.84-3.14, 4 Pt 3.14
Zn 0.2205 0.2205 0.7795  3 Pt 2.63, 3 Zn 2.77, 3 Sc 2.84
Zn 0.7795 0.2205 0.7795  3 Pt 2.63, 3 Zn 2.77, 3 Sc 2.84
Zn 0.2205 0.7795 0.2205  3 Pt 2.63, 3 Zn 2.77, 3 Sc 2.84
Zn 0.2205 0.7795 0.7795  3 Pt 2.63, 3 Zn 2.77, 3 Sc 2.84
Sc 0.0000 0.5000 0.5000  10 Zn 2.84-3.14, 4 Pt 3.14
Pt 0.5000 0.0000 0.0000  8 Zn 2.63
Pt 0.0000 0.0000 0.5000  8 Zn 2.63
Zn 0.5000 0.5000 0.5000  8 Zn 3.04, 6 Sc 3.14
Zn 0.7795 0.7795 0.2205  3 Pt 2.63, 3 Zn 2.77, 3 Sc 2.84
Zn 0.7795 0.7795 0.7795  3 Pt 2.63, 3 Zn 2.77, 3 Sc 2.84
Zn 0.7795 0.2205 0.2205  3 Pt 2.63, 3 Zn 2.77, 3 Sc 2.84
Sc 0.5000 0.0000 0.5000  10 Zn 2.84-3.14, 4 Pt 3.14
Zn 0.2205 0.2205 0.2205  3 Pt 2.63, 3 Zn 2.77, 3 Sc 2.84
Pt 0.0000 0.5000 0.0000  8 Zn 2.63

Output
* magnetic moment: 0.0 μB per formula unit
* calculated volume: 247.1 Å³ per cell
* DOS(E_F): 7.3 states/eV per cell

--- b ---
ScZn3Pt | GGA-PBE | relaxed

a b c (Å): 4.7497 4.7497 4.7497
angles (deg): 90.00 90.00 90.00
Last column: nearest neighbours and their distance in Å.
Positions (direct):
Sc 0.5000 0.5000 0.5000  12 Zn 3.36
Pt 0.0000 0.0000 0.0000  6 Zn 2.37
Zn 0.0000 0.5000 0.0000  2 Pt 2.37
Zn 0.5000 0.0000 0.0000  2 Pt 2.37
Zn 0.0000 0.0000 0.5000  2 Pt 2.37

Output
* magnetic moment: 0.8 μB per formula unit
* calculated volume: 107.2 Å³ per cell
* DOS(E_F): 2.4 states/eV per cell

Short version: a is the most stable of them.

--- a ---
ScZn3Pt | GGA-PBE | relaxed

a b c (Å): 5.0167 5.0167 5.0167
angles (deg): 90.00 90.00 90.00
Last column: nearest neighbours and their distance in Å.
Positions (direct):
Sc 0.0000 0.0000 0.0000  6 Zn 2.51
Zn 0.5000 0.0000 0.0000  2 Sc 2.51
Zn 0.0000 0.0000 0.5000  2 Sc 2.51
Zn 0.0000 0.5000 0.0000  2 Sc 2.51
Pt 0.5000 0.5000 0.5000  12 Zn 3.55

Output
* magnetic moment: 0.0 μB per formula unit
* calculated volume: 126.3 Å³ per cell
* DOS(E_F): 3.4 states/eV per cell

--- b ---
ScZn3Pt | GGA-PBE | relaxed

a b c (Å): 5.2836 5.1737 5.9940
angles (deg): 90.00 88.30 90.00
Last column: nearest neighbours and their distance in Å.
Positions (direct):
Zn 0.8441 0.9957 0.8309  5 Zn 2.54-2.65, 2 Pt 2.60-2.61
Zn 0.8745 0.2500 0.4643  1 Pt 2.52, 4 Zn 2.56-2.61
Zn 0.1255 0.7500 0.5357  1 Pt 2.52, 4 Zn 2.56-2.61
Zn 0.8441 0.5043 0.8309  5 Zn 2.54-2.65, 2 Pt 2.60-2.61
Pt 0.5843 0.2500 0.1372  5 Zn 2.52-2.61
Zn 0.1559 0.4957 0.1691  5 Zn 2.54-2.65, 2 Pt 2.60-2.61
Sc 0.3564 0.2500 0.6796  3 Pt 2.83-3.03, 8 Zn 2.89-3.12
Zn 0.1559 0.0043 0.1691  5 Zn 2.54-2.65, 2 Pt 2.60-2.61
Sc 0.6436 0.7500 0.3204  3 Pt 2.83-3.03, 8 Zn 2.89-3.12
Pt 0.4157 0.7500 0.8628  5 Zn 2.52-2.61

Output
* magnetic moment: 0.0 μB per formula unit
* calculated volume: 163.8 Å³ per cell
* DOS(E_F): 3.2 states/eV per cell

Short version: b is the most stable of them.